(1)
AlCrP2 at its PBEsol-relaxed geometry, computed with SCAN.

abc: 3.476 3.476 4.974
angles: 90.00 90.00 90.00
Element x y z (fractional)
1 P 0.500 0.500 0.373
2 P 0.000 0.000 0.876
3 Al 0.000 0.000 0.377
4 Cr 0.500 0.500 0.874

Results
The formation energy comes out at -402 meV per atom.

---

(2)
AlCr2Pb at its PBEsol-relaxed geometry, computed with SCAN.

abc: 3.058 3.058 8.784
angles: 79.98 79.98 60.00
Element x y z (fractional)
1 Pb 0.500 0.500 0.500
2 Cr 0.742 0.742 0.773
3 Cr 0.258 0.258 0.227
4 Al 0.000 0.000 0.000

Results
The formation energy comes out at 338 meV per atom.

---

(3)
AlCr2Pb at its PBEsol-relaxed geometry, computed with SCAN.

abc: 3.101 4.606 5.210
angles: 111.76 90.00 90.00
Element x y z (fractional)
1 Cr 0.500 0.000 0.500
2 Cr 0.000 0.000 0.000
3 Pb 0.500 0.500 0.000
4 Al 0.000 0.500 0.500

Results
The formation energy comes out at 339 meV per atom.

---

(4)
AlCrPb2 at its PBEsol-relaxed geometry, computed with SCAN.

abc: 3.374 5.214 5.214
angles: 102.77 90.00 90.00
Element x y z (fractional)
1 Pb 0.000 0.500 0.000
2 Pb 0.000 0.000 0.500
3 Cr 0.500 0.500 0.500
4 Al 0.500 0.000 0.000

Results
The formation energy comes out at 295 meV per atom.

---

(5)
Al2CrPt at its PBEsol-relaxed geometry, computed with SCAN.

abc: 2.682 4.945 4.945
angles: 112.27 103.39 103.39
Element x y z (fractional)
1 Al 0.000 0.500 0.000
2 Al 0.000 0.000 0.500
3 Cr 0.500 0.000 0.000
4 Pt 0.500 0.500 0.500

Results
The formation energy comes out at -423 meV per atom.

---

(6)
AlCrPt2 at its PBEsol-relaxed geometry, computed with SCAN.

abc: 2.809 3.588 5.636
angles: 90.00 90.00 90.00
Element x y z (fractional)
1 Pt 0.000 0.000 0.751
2 Pt 0.000 0.000 0.249
3 Al 0.500 0.500 0.000
4 Cr 0.500 0.500 0.500

Results
The formation energy comes out at -843 meV per atom.

---

(7)
Al2CrPt at its PBEsol-relaxed geometry, computed with SCAN.

abc: 2.749 3.787 5.326
angles: 90.00 90.00 90.00
Element x y z (fractional)
1 Al 0.500 0.500 0.268
2 Al 0.000 0.000 0.988
3 Pt 0.500 0.500 0.763
4 Cr 0.000 0.000 0.481

Results
The formation energy comes out at -573 meV per atom.

---

(8)
RbAlCr2 at its PBEsol-relaxed geometry, computed with SCAN.

abc: 5.583 5.583 9.627
angles: 106.85 106.85 90.00
Element x y z (fractional)
1 Al 0.500 0.500 0.000
2 Al 0.750 0.250 0.500
3 Cr 0.625 0.375 0.750
4 Cr 0.125 0.375 0.750
5 Cr 0.625 0.375 0.250
6 Cr 0.625 0.875 0.250
7 Rb 0.000 0.000 0.000
8 Rb 0.250 0.750 0.500

Results
The formation energy comes out at 811 meV per atom.

---

(9)
AlCrRe2 at its PBEsol-relaxed geometry, computed with SCAN.

abc: 2.647 2.647 8.487
angles: 90.00 90.00 111.77
Element x y z (fractional)
1 Re 0.000 0.000 0.013
2 Re 0.500 0.500 0.748
3 Al 0.000 0.000 0.490
4 Cr 0.500 0.500 0.250

Results
The formation energy comes out at 44 meV per atom.

---

(10)
AlCrRe2 at its PBEsol-relaxed geometry, computed with SCAN.

abc: 3.024 4.300 4.932
angles: 115.84 107.85 90.00
Element x y z (fractional)
1 Cr 0.500 0.000 0.000
2 Re 0.760 0.760 0.520
3 Re 0.240 0.240 0.480
4 Al 0.000 0.500 0.000

Results
The formation energy comes out at -224 meV per atom.

---

(11)
Al2CrRe at its PBEsol-relaxed geometry, computed with SCAN.

abc: 3.025 3.025 5.865
angles: 90.00 90.00 90.00
Element x y z (fractional)
1 Re 0.500 0.500 0.738
2 Al 0.500 0.500 0.268
3 Al 0.000 0.000 0.992
4 Cr 0.000 0.000 0.502

Results
The formation energy comes out at -315 meV per atom.

---

(12)
AlCrRe2 at its PBEsol-relaxed geometry, computed with SCAN.

abc: 2.938 4.268 4.268
angles: 90.00 90.00 90.00
Element x y z (fractional)
1 Cr 0.500 0.000 0.000
2 Re 0.000 0.500 0.000
3 Re 0.000 0.000 0.500
4 Al 0.500 0.500 0.500

Results
The formation energy comes out at -115 meV per atom.

---

no.,magnetic moment (μB/atom),E_tot (eV per atom)
1,0.7366,-12.135
2,1.8126,-29.738
3,1.8040,-29.736
4,1.0625,-44.130
5,0.0001,-26.444
6,0.9203,-42.473
7,0.7722,-26.593
8,2.2432,-15.504
9,0.0001,-42.038
10,0.1631,-42.307
11,0.0016,-26.562
12,0.0000,-42.198